This record from Alexandria via LeMat-Bulk describes crystalline SiNiO2 at its relaxed geometry. The functional is GGA+U.

Geometry as POSCAR:
```
SiNiO2
1.0
-0.701 -2.040 4.808
-2.367 -4.200 -2.127
1.818 -4.878 1.083
O Si Ni
4 2 2
direct
0.352 0.625 0.250
0.375 0.602 0.750
0.875 0.648 0.750
0.398 0.125 0.250
0.250 0.750 0.500
0.500 0.500 0.000
0.000 0.000 0.000
0.750 0.250 0.500
```

Calculated values
As for the symmetry: I-42d, No. 122. The calculation puts the density of states at the Fermi level at 0.6 states/eV per cell. The calculation puts the volume at 105.32 Å³/cell. For the magnetization, the calculation gives 1.02 μB/f.u. The value obtained for the total energy is -5.7136 eV per atom.